Material: MgSbPt2
Method: DFT, PBE
State: relaxed

- uncorrected energy (eV per atom) = -4.74
- formation energy without anion corrections (eV/atom) = -0.29
- magnetic moment (μB/f.u.) = 0.0
- theoretical density (g cm⁻³) = 12.2

Cell: 8.7748 8.7748 8.7748 Å, 20.61 20.61 20.61°
Fractional coordinates of all 4 atoms:
Pt (0.4985, 0.4985, 0.4985)
Mg (0.7500, 0.7500, 0.7500)
Sb (0.2500, 0.2500, 0.2500)
Pt (0.0015, 0.0015, 0.0015)